Entry 1:
SiSb2Se: optimized geometry, PBE-GGA. Values from VASP.

Results
* uncorrected formation energy: 470 meV per atom
* total DFT energy (no corrections): -3.82 eV/atom
* M_tot: 0.00 μB per cell
* volume: 23.70 A^3/atom
* energy relative to the lowest polymorph listed for this composition: 390 meV per atom

Structure (Quantum ESPRESSO input):
```
&SYSTEM
  ibrav = 0, nat = 8, ntyp = 3
/
ATOMIC_SPECIES
Si 28.09 Si.upf
Sb 121.76 Sb.upf
Se 78.96 Se.upf
ATOMIC_POSITIONS angstrom
Si 0.0000 0.0000 0.0000
Si 2.1570 2.1570 5.0928
Sb 0.0000 2.1570 2.5464
Sb 0.0000 2.1570 7.6392
Sb 2.1570 0.0000 2.5464
Sb 2.1570 0.0000 7.6392
Se 0.0000 0.0000 5.0928
Se 2.1570 2.1570 0.0000
CELL_PARAMETERS angstrom
4.3140 0.0000 0.0000
0.0000 4.3140 0.0000
0.0000 0.0000 10.1855
```

Entry 2:
Rb2CdPb: optimized geometry, PBE-GGA. Values from VASP.

Results
* total DFT energy (no corrections): -1.50 eV/atom
* M_tot: 0.00 μB per cell
* volume: 45.15 A^3/atom
* formation energy: 0.144 eV/atom

Structure (Quantum ESPRESSO input):
```
&SYSTEM
  ibrav = 0, nat = 16, ntyp = 3
/
ATOMIC_SPECIES
Rb 85.47 Rb.upf
Cd 112.41 Cd.upf
Pb 207.20 Pb.upf
ATOMIC_POSITIONS angstrom
Rb 2.3881 2.5779 0.8492
Rb 2.5779 7.5440 2.5476
Rb 2.5779 7.9236 5.9443
Rb 2.7677 2.5779 4.2460
Rb 7.5440 7.7338 4.2460
Rb 7.7338 2.3881 5.9443
Rb 7.7338 2.7677 2.5476
Rb 7.9236 7.7338 0.8492
Cd 0.0000 0.0000 0.0000
Cd 0.0000 5.1559 1.6984
Cd 5.1559 0.0000 5.0951
Cd 5.1559 5.1559 3.3968
Pb 0.0000 0.0000 3.3968
Pb 0.0000 5.1559 5.0951
Pb 5.1559 0.0000 1.6984
Pb 5.1559 5.1559 0.0000
CELL_PARAMETERS angstrom
10.3117 0.0000 0.0000
0.0000 10.3117 0.0000
0.0000 0.0000 6.7935
```

Entry 3:
Ta2BeW: optimized geometry, PBE-GGA. Values from VASP.

Results
* total DFT energy (no corrections): -10.03 eV/atom
* M_tot: 0.00 μB per cell
* volume: 15.44 A^3/atom
* formation energy: 0.066 eV/atom

Structure (Quantum ESPRESSO input):
```
&SYSTEM
  ibrav = 0, nat = 8, ntyp = 3
/
ATOMIC_SPECIES
Ta 180.95 Ta.upf
Be 9.01 Be.upf
W 183.84 W.upf
ATOMIC_POSITIONS angstrom
Ta 0.0000 0.0000 1.8302
Ta 0.0000 0.0000 6.4935
Ta 1.7163 2.1611 1.8302
Ta 1.7163 2.1611 6.4935
Be 0.0000 2.1611 0.0000
Be 1.7163 0.0000 0.0000
W 0.0000 2.1611 4.1619
W 1.7163 0.0000 4.1619
CELL_PARAMETERS angstrom
3.4326 0.0000 0.0000
0.0000 4.3222 0.0000
0.0000 0.0000 8.3237
```

Entry 4:
TaAs2Ru: optimized geometry, PBE-GGA. Values from VASP.

Results
* total DFT energy (no corrections): -7.45 eV/atom
* M_tot: 0.00 μB per cell
* volume: 16.48 A^3/atom
* energy relative to the lowest polymorph listed for this composition: 373 meV per atom
* formation energy: 0.162 eV/atom

Structure (Quantum ESPRESSO input):
```
&SYSTEM
  ibrav = 0, nat = 8, ntyp = 3
/
ATOMIC_SPECIES
Ta 180.95 Ta.upf
As 74.92 As.upf
Ru 101.07 Ru.upf
ATOMIC_POSITIONS angstrom
Ta 0.0000 0.0000 0.0000
Ta 1.5815 2.5310 4.1177
As 0.0000 2.5310 1.9334
As 0.0000 2.5310 6.3020
As 1.5815 0.0000 2.1843
As 1.5815 0.0000 6.0511
Ru 0.0000 0.0000 4.1177
Ru 1.5815 2.5310 0.0000
CELL_PARAMETERS angstrom
3.1629 0.0000 0.0000
0.0000 5.0620 0.0000
0.0000 0.0000 8.2354
```

Entry 5:
Pr3MgTe4: optimized geometry, PBE-GGA. Values from VASP.

Results
* uncorrected formation energy: -1233 meV per atom
* total DFT energy (no corrections): -4.80 eV/atom
* M_tot: 0.00 μB per cell
* volume: 31.76 A^3/atom

Structure (Quantum ESPRESSO input):
```
&SYSTEM
  ibrav = 0, nat = 16, ntyp = 3
/
ATOMIC_SPECIES
Pr 140.91 Pr.upf
Mg 24.30 Mg.upf
Te 127.60 Te.upf
ATOMIC_POSITIONS angstrom
Pr 0.0000 0.0000 0.0000
Pr 2.2951 3.1737 2.1802
Pr 2.2951 9.5210 2.1802
Pr 4.5901 6.3474 0.0000
Pr 6.8852 3.1737 2.1802
Pr 6.8852 9.5210 2.1802
Mg 0.0000 6.3474 0.0000
Mg 4.5901 0.0000 0.0000
Te 0.0000 3.3069 0.0000
Te 0.0000 9.3878 0.0000
Te 2.1165 6.3474 2.1802
Te 2.4736 0.0000 2.1802
Te 4.5901 3.0405 0.0000
Te 4.5901 9.6542 0.0000
Te 6.7067 0.0000 2.1802
Te 7.0638 6.3474 2.1802
CELL_PARAMETERS angstrom
9.1803 0.0000 0.0000
0.0000 12.6947 0.0000
0.0000 0.0000 4.3604
```

Entry 6:
LiAsPb2Se4: optimized geometry, PBE-GGA. Values from VASP.

Results
* uncorrected formation energy: -493 meV per atom
* total DFT energy (no corrections): -3.98 eV/atom
* M_tot: 0.00 μB per cell
* volume: 24.93 A^3/atom

Structure (Quantum ESPRESSO input):
```
&SYSTEM
  ibrav = 0, nat = 16, ntyp = 4
/
ATOMIC_SPECIES
Li 6.94 Li.upf
As 74.92 As.upf
Pb 207.20 Pb.upf
Se 78.96 Se.upf
ATOMIC_POSITIONS angstrom
Li 0.0000 0.0000 0.0000
Li 0.0000 4.1862 0.0000
As -2.0533 2.0931 2.9000
As 2.0533 2.0931 2.9000
Pb 2.0533 2.0931 -2.9000
Pb 2.0533 -2.0931 2.9000
Pb 4.1066 0.0000 0.0000
Pb 0.0000 0.0000 5.7999
Se 0.0000 0.2173 2.7480
Se 1.8903 2.0931 0.1502
Se 2.2163 -2.0931 5.9501
Se 4.1066 0.2173 3.0520
Se 0.0000 3.9688 2.7480
Se 1.8903 6.2792 -0.1502
Se 2.2163 2.0931 5.6497
Se 4.1066 3.9688 3.0520
CELL_PARAMETERS angstrom
-4.1066 4.1862 5.7999
4.1066 -4.1862 5.7999
4.1066 4.1862 -5.7999
```

Entry 7:
CaYZr2: optimized geometry, PBE-GGA. Values from VASP.

Results
* total DFT energy (no corrections): -6.05 eV/atom
* M_tot: 12.54 μB per cell
* volume: 28.02 A^3/atom
* energy relative to the lowest polymorph listed for this composition: 180 meV per atom
* formation energy: 0.344 eV/atom

Structure (Quantum ESPRESSO input):
```
&SYSTEM
  ibrav = 0, nat = 16, ntyp = 3
/
ATOMIC_SPECIES
Ca 40.08 Ca.upf
Y 88.91 Y.upf
Zr 91.22 Zr.upf
ATOMIC_POSITIONS angstrom
Ca 0.0000 0.0000 0.0000
Ca 0.0000 3.8270 3.8270
Ca 3.8270 0.0000 3.8270
Ca 3.8270 3.8270 0.0000
Y 1.9135 1.9135 5.7405
Y 1.9135 5.7405 1.9135
Y 5.7405 1.9135 1.9135
Y 5.7405 5.7405 5.7405
Zr 0.0000 0.0000 3.8270
Zr 0.0000 3.8270 0.0000
Zr 1.9135 1.9135 1.9135
Zr 1.9135 5.7405 5.7405
Zr 3.8270 0.0000 0.0000
Zr 3.8270 3.8270 3.8270
Zr 5.7405 1.9135 5.7405
Zr 5.7405 5.7405 1.9135
CELL_PARAMETERS angstrom
7.6540 0.0000 0.0000
0.0000 7.6540 0.0000
0.0000 0.0000 7.6540
```

Entry 8:
As2OsW: optimized geometry, PBE-GGA. Values from VASP.

Results
* total DFT energy (no corrections): -8.29 eV/atom
* M_tot: 0.00 μB per cell
* volume: 18.28 A^3/atom
* energy relative to the lowest polymorph listed for this composition: 0 meV per atom
* formation energy: 0.078 eV/atom

Structure (Quantum ESPRESSO input):
```
&SYSTEM
  ibrav = 0, nat = 4, ntyp = 3
/
ATOMIC_SPECIES
As 74.92 As.upf
Os 190.23 Os.upf
W 183.84 W.upf
ATOMIC_POSITIONS angstrom
As 0.0000 0.0000 0.0000
As 1.4429 1.4429 3.3664
Os 0.0000 0.0000 5.0363
W 1.4429 1.4429 6.8489
CELL_PARAMETERS angstrom
2.8858 0.0000 0.0000
0.0000 2.8858 0.0000
0.0000 0.0000 8.7793
```

Entry 9:
Pm8Co3I3N: optimized geometry, PBE-GGA. Values from VASP.

Results
* uncorrected formation energy: -572 meV per atom
* total DFT energy (no corrections): -5.39 eV/atom
* M_tot: 0.00 μB per cell
* volume: 29.25 A^3/atom

Structure (Quantum ESPRESSO input):
```
&SYSTEM
  ibrav = 0, nat = 15, ntyp = 4
/
ATOMIC_SPECIES
Pm 145.00 Pm.upf
Co 58.93 Co.upf
I 126.90 I.upf
N 14.01 N.upf
ATOMIC_POSITIONS angstrom
Pm -0.1264 0.0000 5.4193
Pm 3.4926 2.0884 5.4233
Pm 5.6586 2.0884 2.6395
Pm 2.2876 0.0000 2.5685
Pm 6.8636 0.0000 5.4943
Pm 3.4926 -2.0884 5.4233
Pm 5.6586 -2.0884 2.6395
Pm 9.2775 0.0000 2.6434
Co 1.1444 1.9822 4.0314
Co 1.1444 -1.9822 4.0314
Co 4.5756 0.0000 4.0314
I 0.0000 0.0000 0.0000
I 3.4311 1.9822 0.0000
I 3.4311 -1.9822 0.0000
N -2.2867 0.0000 4.0314
CELL_PARAMETERS angstrom
6.8623 -3.9645 0.0000
6.8623 3.9645 0.0000
-4.5734 0.0000 8.0627
```

Entry 10:
Pm2Tm3Th3: optimized geometry, PBE-GGA. Values from VASP.

Results
* total DFT energy (no corrections): -5.50 eV/atom
* M_tot: 0.00 μB per cell
* volume: 32.25 A^3/atom
* formation energy: 0.151 eV/atom

Structure (Quantum ESPRESSO input):
```
&SYSTEM
  ibrav = 0, nat = 8, ntyp = 3
/
ATOMIC_SPECIES
Pm 145.00 Pm.upf
Tm 168.93 Tm.upf
Th 232.04 Th.upf
ATOMIC_POSITIONS angstrom
Pm 0.0000 5.2258 0.0000
Pm 4.5257 2.6129 0.0000
Tm -2.7384 4.7431 1.8179
Tm 1.7872 3.0956 1.8179
Tm 5.4769 0.0000 1.8179
Th -1.0279 1.7804 0.0000
Th 2.0559 0.0000 0.0000
Th 3.4977 6.0583 0.0000
CELL_PARAMETERS angstrom
9.0513 0.0000 0.0000
-4.5257 7.8387 0.0000
0.0000 0.0000 3.6359
```

Entry 11:
CaPuZnPd: optimized geometry, PBE-GGA. Values from VASP.

Results
* total DFT energy (no corrections): -5.96 eV/atom
* M_tot: 23.43 μB per cell
* volume: 22.91 A^3/atom
* formation energy: -0.265 eV/atom

Structure (Quantum ESPRESSO input):
```
&SYSTEM
  ibrav = 0, nat = 16, ntyp = 4
/
ATOMIC_SPECIES
Ca 40.08 Ca.upf
Pu 244.00 Pu.upf
Zn 65.41 Zn.upf
Pd 106.42 Pd.upf
ATOMIC_POSITIONS angstrom
Ca 0.0000 0.0000 0.0000
Ca 0.0000 3.5786 3.5786
Ca 3.5786 0.0000 3.5786
Ca 3.5786 3.5786 0.0000
Pu 0.0000 0.0000 3.5786
Pu 0.0000 3.5786 0.0000
Pu 3.5786 0.0000 0.0000
Pu 3.5786 3.5786 3.5786
Zn 1.7893 1.7893 5.3679
Zn 1.7893 5.3679 1.7893
Zn 5.3679 1.7893 1.7893
Zn 5.3679 5.3679 5.3679
Pd 1.7893 1.7893 1.7893
Pd 1.7893 5.3679 5.3679
Pd 5.3679 1.7893 5.3679
Pd 5.3679 5.3679 1.7893
CELL_PARAMETERS angstrom
7.1571 0.0000 0.0000
0.0000 7.1571 0.0000
0.0000 0.0000 7.1571
```

Entry 12:
Mg2ZnNi2: optimized geometry, PBE-GGA. Values from VASP.

Results
* total DFT energy (no corrections): -3.39 eV/atom
* M_tot: 0.00 μB per cell
* volume: 15.29 A^3/atom
* formation energy: -0.186 eV/atom

Structure (Quantum ESPRESSO input):
```
&SYSTEM
  ibrav = 0, nat = 10, ntyp = 3
/
ATOMIC_SPECIES
Mg 24.30 Mg.upf
Zn 65.41 Zn.upf
Ni 58.69 Ni.upf
ATOMIC_POSITIONS angstrom
Mg 1.0459 2.0444 0.0000
Mg 2.0444 5.1346 0.0000
Mg 4.1361 1.0459 0.0000
Mg 5.1346 4.1361 0.0000
Zn 0.0000 0.0000 2.0009
Zn 3.0902 3.0902 2.0009
Ni 0.8229 3.9131 2.0009
Ni 2.2674 0.8229 2.0009
Ni 3.9131 5.3576 2.0009
Ni 5.3576 2.2674 2.0009
CELL_PARAMETERS angstrom
6.1805 0.0000 0.0000
0.0000 6.1805 0.0000
0.0000 0.0000 4.0018
```

Entry 13:
Os3Pt: optimized geometry, PBE-GGA. Values from VASP.

Results
* total DFT energy (no corrections): -9.78 eV/atom
* M_tot: 0.00 μB per cell
* volume: 14.59 A^3/atom
* formation energy: 0.157 eV/atom

Structure (Quantum ESPRESSO input):
```
&SYSTEM
  ibrav = 0, nat = 8, ntyp = 2
/
ATOMIC_SPECIES
Os 190.23 Os.upf
Pt 195.08 Pt.upf
ATOMIC_POSITIONS angstrom
Os 0.0000 0.0000 0.0000
Os 0.0000 2.2437 1.6008
Os 0.0000 6.5596 1.6008
Os 1.3864 2.1580 3.9925
Os 1.3864 4.4017 2.3916
Os 1.3864 6.6454 3.9925
Pt 0.0000 4.4017 4.7659
Pt 1.3864 0.0000 2.3743
CELL_PARAMETERS angstrom
2.7727 0.0000 0.0000
0.0000 8.8034 0.0000
0.0000 0.0000 4.7833
```

Entry 14:
PrZnHg3: optimized geometry, PBE-GGA. Values from VASP.

Results
* total DFT energy (no corrections): -1.62 eV/atom
* M_tot: 0.00 μB per cell
* volume: 24.40 A^3/atom
* formation energy: -0.228 eV/atom

Structure (Quantum ESPRESSO input):
```
&SYSTEM
  ibrav = 0, nat = 10, ntyp = 3
/
ATOMIC_SPECIES
Pr 140.91 Pr.upf
Zn 65.41 Zn.upf
Hg 200.59 Hg.upf
ATOMIC_POSITIONS angstrom
Pr 1.9068 0.0000 1.5248
Pr 22.7598 0.0000 3.3354
Zn 9.2205 0.0000 0.7655
Zn 15.4461 0.0000 4.0947
Hg 4.6061 0.0000 4.2312
Hg 7.3859 0.0000 3.0292
Hg 11.8058 0.0000 1.1065
Hg 12.8608 0.0000 3.7537
Hg 17.2807 0.0000 1.8310
Hg 20.0605 0.0000 0.6290
CELL_PARAMETERS angstrom
12.7040 -1.9757 0.0000
12.7040 1.9757 0.0000
-0.7415 0.0000 4.8602
```